DFT (GGA-PBE) results for crystalline CsHg2AuF8 at its relaxed geometry.

a b c (Å): 5.1730 5.8993 8.2275
angles (deg): 84.09 88.35 85.74
Fractional coordinates of all 12 atoms:
Cs1 0.0000 0.0000 0.5000
Hg1 0.4954 0.5041 0.7801
Hg2 0.5046 0.4959 0.2199
Au1 0.0000 0.0000 0.0000
F1 0.0331 0.7641 0.1898
F2 0.5412 0.7334 0.0249
F3 0.9545 0.2329 0.1570
F4 0.9669 0.2359 0.8102
F5 0.4588 0.2666 0.9751
F6 0.0455 0.7671 0.8430
F7 0.5278 0.7208 0.5735
F8 0.4722 0.2792 0.4265

Summary:
- Energy relative to the elements, uncorrected: -150 kJ per mole of atoms
- Total magnetization: 0.00 μB per formula unit
- Calculated total energy: -3.196 eV/atom
- N(E_F): 0.0000 states/eV per atom
- Crystal system: triclinic
- ρ: 5889 kg/m3

---

DFT (GGA-PBE) results for crystalline Cs6Hg2AuF at its relaxed geometry.

a b c (Å): 8.7574 9.6591 12.7414
angles (deg): 90.00 88.94 90.00
Fractional coordinates of all 20 atoms:
Cs1 0.2979 0.6772 0.0453
Cs2 0.7979 0.8228 0.5453
Cs3 0.7021 0.3228 0.9547
Cs4 0.2021 0.1772 0.4547
Cs5 0.3310 0.7067 0.4512
Cs6 0.8310 0.7933 0.9512
Cs7 0.6690 0.2933 0.5488
Cs8 0.1690 0.2067 0.0488
Cs9 0.9015 0.5192 0.2302
Cs10 0.4015 0.9808 0.7302
Cs11 0.0985 0.4808 0.7698
Cs12 0.5985 0.0192 0.2698
Hg1 0.0425 0.9055 0.2507
Hg2 0.5425 0.5945 0.7507
Hg3 0.9575 0.0945 0.7493
Hg4 0.4575 0.4055 0.2493
Au1 0.5000 0.0000 0.0000
Au2 0.0000 0.5000 0.5000
F1 0.5000 0.0000 0.5000
F2 0.0000 0.5000 0.0000

Summary:
- Energy relative to the elements, uncorrected: -62 kJ per mole of atoms
- Total magnetization: 0.00 μB per formula unit
- Calculated total energy: -1.729 eV/atom
- N(E_F): 0.9308 states/eV per atom
- Crystal system: monoclinic
- ρ: 4360 kg/m3